A plane-wave DFT calculation with PBE was carried out for BeSi2As after structural relaxation.

Unit cell a=5.657 b=5.657 c=5.657 alpha=145.09 beta=144.57 gamma=50.58
Fractional positions:
Be  0.000  0.000  0.000
Si  0.202  0.702  0.500
Si  0.798  0.298  0.500
As  0.500  0.500  0.000

Properties
* energy: -17.52 eV per formula unit
* raw formation energy: 425 meV per atom
* D(E_F): 0.337 states/eV per atom
* mass density: 3.9 g/cm³

***

A plane-wave DFT calculation with PBE was carried out for BeSiAs2 after structural relaxation.

Unit cell a=4.815 b=4.815 c=2.736 alpha=90.00 beta=90.00 gamma=90.00
Fractional positions:
Be  0.000  0.000  0.000
Si  0.500  0.500  0.000
As  0.000  0.500  0.500
As  0.500  0.000  0.500

Properties
* energy: -16.21 eV per formula unit
* energy relative to the lowest polymorph listed for this composition: 0.777 eV per atom
* raw formation energy: 559 meV per atom
* D(E_F): 0.416 states/eV per atom
* mass density: 4.9 g/cm³

***

A plane-wave DFT calculation with PBE was carried out for BeSiAs after structural relaxation.

Unit cell a=5.944 b=5.836 c=2.902 alpha=77.82 beta=73.67 gamma=28.51
Fractional positions:
Be  0.000  0.000  0.000
Si  0.374  0.374  0.626
As  0.632  0.632  0.368

Properties
* energy: -12.48 eV per formula unit
* energy relative to the lowest polymorph listed for this composition: 0.494 eV per atom
* raw formation energy: 440 meV per atom
* D(E_F): 0.108 states/eV per atom
* mass density: 4.0 g/cm³

***

A plane-wave DFT calculation with PBE was carried out for BeSiAs2 after structural relaxation.

Unit cell a=6.624 b=6.624 c=6.624 alpha=33.33 beta=33.33 gamma=33.33
Fractional positions:
Be  0.000  0.000  0.000
Si  0.881  0.881  0.881
As  0.357  0.357  0.357
As  0.489  0.489  0.489

Properties
* energy: -18.54 eV per formula unit
* energy relative to the lowest polymorph listed for this composition: 0.195 eV per atom
* raw formation energy: -24 meV per atom
* D(E_F): 0.119 states/eV per atom
* mass density: 4.0 g/cm³

***

The highest mass density belongs to which entry?
number 2

***

The lowest raw formation energy belongs to which entry?
number 4

***

Among the records above, which one has the highest energy?
BeSiAs